A plane-wave DFT calculation with PBE with a Hubbard U was carried out for crystalline Ba6Co6O16F at its relaxed geometry.

Cell: 14.457 5.744 10.110 Å, 90.00 90.00 90.00°
Space group Amm2 (No. 38)
Symmetry-distinct sites (fractional):
1 Ba 0.000 0.000 0.000 [2 per cell]
2 Ba 0.147 0.000 0.663 [4 per cell]
3 Ba 0.312 0.000 0.002 [4 per cell]
4 Ba 0.500 0.000 0.322 [2 per cell]
5 Co 0.085 0.000 0.326 [4 per cell]
6 Co 0.256 0.000 0.329 [4 per cell]
7 Co 0.382 0.000 0.678 [4 per cell]
8 O 0.000 0.000 0.477 [2 per cell]
9 O 0.000 0.222 0.260 [4 per cell]
10 O 0.157 0.000 0.171 [4 per cell]
11 O 0.170 0.217 0.400 [8 per cell]
12 O 0.333 0.236 0.252 [8 per cell]
13 O 0.352 0.000 0.507 [4 per cell]
14 O 0.500 0.000 0.748 [2 per cell]
15 F 0.500 0.000 0.056 [2 per cell]

Summary:
- Total magnetization: 15.1 μB/f.u.
- Final energy: -350.029 eV/cell